No. 1
# PBE RbUAg2Te4, relaxed
data_RbUAg2Te4
_space_group_name_H-M_alt 'I 2 2 2'
_space_group_IT_number 23
_cell_length_a 7.170
_cell_length_b 8.557
_cell_length_c 9.253
_cell_angle_alpha 90.00
_cell_angle_beta 90.00
_cell_angle_gamma 90.00
loop_
_space_group_symop_operation_xyz
'x,y,z'
'-x,-y,z'
'x,-y,-z'
'-x,y,-z'
'x+1/2,y+1/2,z+1/2'
'-x+1/2,-y+1/2,z+1/2'
'x+1/2,-y+1/2,-z+1/2'
'-x+1/2,y+1/2,-z+1/2'
loop_
_atom_site_label
_atom_site_type_symbol
_atom_site_fract_x
_atom_site_fract_y
_atom_site_fract_z
Rb1 Rb 0.000 0.000 0.000
U1 U 0.000 0.000 0.500
Ag1 Ag 0.000 0.500 0.156
Te1 Te 0.213 0.212 0.315
# formation energy (no corrections) = -0.29 eV/atom

No. 2
# PBE RbU2AgTe5, relaxed
data_RbU2AgTe5
_space_group_name_H-M_alt 'I 4/m c m'
_space_group_IT_number 140
_space_group_name_Hall '-I 4 2c'
_cell_length_a 8.379
_cell_length_b 8.379
_cell_length_c 16.738
_cell_angle_alpha 90.00
_cell_angle_beta 90.00
_cell_angle_gamma 90.00
loop_
_atom_site_label
_atom_site_type_symbol
_atom_site_fract_x
_atom_site_fract_y
_atom_site_fract_z
Rb1 Rb 0.000 0.000 0.250
U1 U 0.151 0.349 0.000
Ag1 Ag 0.000 0.500 0.250
Te1 Te 0.000 0.000 0.000
Te2 Te 0.150 0.350 0.380
# formation energy (no corrections) = -0.63 eV/atom

No. 3
# PBE RbYAgTe3, relaxed
data_RbYAgTe3
_space_group_name_H-M_alt 'C m c m'
_space_group_IT_number 63
_space_group_name_Hall '-C 2c 2'
_cell_length_a 4.330
_cell_length_b 17.257
_cell_length_c 11.359
_cell_angle_alpha 90.00
_cell_angle_beta 90.00
_cell_angle_gamma 90.00
loop_
_atom_site_label
_atom_site_type_symbol
_atom_site_fract_x
_atom_site_fract_y
_atom_site_fract_z
Rb1 Rb 0.000 0.245 0.250
Y1 Y 0.000 0.000 0.000
Ag1 Ag 0.000 0.470 0.750
Te1 Te 0.000 0.076 0.750
Te2 Te 0.000 0.376 0.550
# formation energy (no corrections) = -0.92 eV/atom

No. 4
# PBE Rb2YAg2Te4, relaxed
data_Rb2YAg2Te4
_space_group_name_H-M_alt 'C 1 2/m 1'
_space_group_IT_number 12
_cell_length_a 16.503
_cell_length_b 4.424
_cell_length_c 8.879
_cell_angle_alpha 90.00
_cell_angle_beta 108.56
_cell_angle_gamma 90.00
loop_
_space_group_symop_operation_xyz
'x,y,z'
'-x,-y,-z'
'-x,y,-z'
'x,-y,z'
'x+1/2,y+1/2,z'
'-x+1/2,-y+1/2,-z'
'-x+1/2,y+1/2,-z'
'x+1/2,-y+1/2,z'
loop_
_atom_site_label
_atom_site_type_symbol
_atom_site_fract_x
_atom_site_fract_y
_atom_site_fract_z
Rb1 Rb 0.131 0.000 0.066
Y1 Y 0.000 0.000 0.500
Ag1 Ag 0.181 0.500 0.481
Te1 Te 0.013 0.500 0.264
Te2 Te 0.196 0.000 0.691
# formation energy (no corrections) = -0.85 eV/atom

Question: Look up the formation energy (no corrections) of the third one.
Answer: -0.92 eV/atom